# Ce8GeSb2 (PBE-GGA, optimized geometry)
# SG: C2/m, No. 12
# raw formation energy: -440 meV/atom
# E_tot: -65.17 eV/cell
# calculated volume: 295.4 Å³ per cell
data_Ce8GeSb2
_chemical_formula_sum 'Ce8 Ge1 Sb2'
_space_group_name_H-M_alt 'P 1'
_space_group_IT_number 1
_space_group_name_Hall 'P 1'
_cell_length_a 4.2508
_cell_length_b 7.5733
_cell_length_c 9.5414
_cell_angle_alpha 99.19
_cell_angle_beta 102.87
_cell_angle_gamma 90.00
loop_
_atom_site_label
_atom_site_type_symbol
_atom_site_fract_x
_atom_site_fract_y
_atom_site_fract_z
Ce1 Ce 0.6636 0.0597 0.3272
Ce2 Ce 0.7912 0.6819 0.5824
Ce3 Ce 0.4185 0.5412 0.8370
Ce4 Ce 0.0113 0.2597 0.0225
Ce5 Ce 0.2088 0.3181 0.4176
Ce6 Ce 0.9887 0.7403 0.9775
Ce7 Ce 0.3364 0.9403 0.6728
Ce8 Ce 0.5815 0.4588 0.1630
Sb1 Sb 0.8329 0.2595 0.6658
Sb2 Sb 0.1671 0.7405 0.3342
Ge1 Ge 0.5000 0.0000 0.0000